Record 1
Entry from Alexandria: a geometry-optimized Pu6PaSe8 structure (PBE-GGA).

Cell lengths 8.292, 8.292, 8.292 Å; angles 60.00, 60.00, 60.00 degrees
Fractional positions:
Pu 0.000 0.000 0.500
Pu 0.000 0.500 0.000
Pu 0.000 0.500 0.500
Pu 0.500 0.000 0.000
Pu 0.500 0.000 0.500
Pu 0.500 0.500 0.000
Pa 0.000 0.000 0.000
Se 0.248 0.248 0.752
Se 0.248 0.752 0.248
Se 0.248 0.752 0.752
Se 0.250 0.250 0.250
Se 0.750 0.750 0.750
Se 0.752 0.248 0.248
Se 0.752 0.248 0.752
Se 0.752 0.752 0.248

Properties
Uncorrected energy: -145.75 eV/f.u.
N(E_F): 61.9 states/eV per cell
Symmetry: Fm-3m


Record 2
Entry from Alexandria: a geometry-optimized Pu4PaSe5 structure (PBE-GGA).

Cell lengths 7.156, 7.156, 7.156 Å; angles 99.57, 99.57, 131.87 degrees
Fractional positions:
Pu 0.099 0.700 0.800
Pu 0.300 0.099 0.399
Pu 0.700 0.901 0.601
Pu 0.901 0.300 0.200
Pa 0.500 0.500 0.000
Se 0.000 0.000 0.000
Se 0.201 0.400 0.601
Se 0.400 0.799 0.199
Se 0.600 0.201 0.801
Se 0.799 0.600 0.399

Properties
Uncorrected energy: -98.70 eV/f.u.
N(E_F): 39.5 states/eV per cell
Symmetry: I4/m


Record 3
Entry from Alexandria: a geometry-optimized SmPuPa2Se4 structure (PBE-GGA).

Cell lengths 6.933, 4.009, 7.432 Å; angles 90.00, 108.20, 90.00 degrees
Fractional positions:
Sm 0.000 0.000 0.000
Pu 0.500 0.500 0.000
Pa 0.000 0.500 0.500
Pa 0.500 0.000 0.500
Se 0.251 0.500 0.251
Se 0.252 0.000 0.751
Se 0.748 0.000 0.249
Se 0.749 0.500 0.749

Properties
Uncorrected energy: -63.39 eV/f.u.
N(E_F): 13.9 states/eV per cell
Symmetry: P2/m


Record 4
Entry from Alexandria: a geometry-optimized SmPu2PaSe4 structure (PBE-GGA).

Cell lengths 7.134, 4.088, 7.182 Å; angles 90.00, 109.04, 90.00 degrees
Fractional positions:
Sm 0.000 0.000 0.000
Pu 0.000 0.500 0.500
Pu 0.500 0.000 0.500
Pa 0.500 0.500 0.000
Se 0.251 0.000 0.748
Se 0.253 0.500 0.252
Se 0.747 0.500 0.748
Se 0.749 0.000 0.252

Properties
Uncorrected energy: -68.96 eV/f.u.
N(E_F): 17.2 states/eV per cell
Symmetry: P2/m


Record 5
Entry from Alexandria: a geometry-optimized TbPu2PaSe4 structure (PBE-GGA).

Cell lengths 7.109, 4.065, 7.145 Å; angles 90.00, 109.00, 90.00 degrees
Fractional positions:
Tb 0.000 0.000 0.000
Pu 0.000 0.500 0.500
Pu 0.500 0.000 0.500
Pa 0.500 0.500 0.000
Se 0.249 0.000 0.750
Se 0.249 0.500 0.248
Se 0.751 0.000 0.250
Se 0.751 0.500 0.752

Properties
Uncorrected energy: -68.81 eV/f.u.
N(E_F): 16.9 states/eV per cell
Symmetry: P2/m


Record 6
Entry from Alexandria: a geometry-optimized Tb2PuPaSe4 structure (PBE-GGA).

Cell lengths 7.066, 4.049, 7.190 Å; angles 90.00, 108.88, 90.00 degrees
Fractional positions:
Tb 0.000 0.000 0.000
Tb 0.500 0.500 0.000
Pu 0.000 0.500 0.500
Pa 0.500 0.000 0.500
Se 0.249 0.500 0.247
Se 0.252 0.000 0.753
Se 0.748 0.000 0.247
Se 0.751 0.500 0.753

Properties
Uncorrected energy: -59.58 eV/f.u.
N(E_F): 12.4 states/eV per cell
Symmetry: P2/m